No. 1
Computed, not measured: crystalline Zr2CoO at its relaxed geometry at the PBE with a Hubbard U level of DFT.

```
Zr2CoO
1.0
-2.4990 -4.3185 1.8539
2.8661 0.2636 4.4775
-3.3878 0.9454 5.2768
Co O Zr
2 2 4
Cartesian
0.0000 0.0000 0.0000
-2.8516 -2.7003 5.1482
0.1835 -2.0275 3.1657
-0.1690 -0.4092 6.4600
-1.9342 -2.2287 2.9512
0.5156 -0.3398 4.4357
-2.2697 -0.7993 6.5404
-2.3531 -2.8513 9.2891
```

## Properties
The value obtained for the uncorrected energy is -7.589 eV/atom.



No. 2
Computed, not measured: crystalline ZrCo2O at its relaxed geometry at the PBE with a Hubbard U level of DFT.

```
ZrCo2O
1.0
-0.5149 -4.3147 0.2616
4.0089 -0.3781 1.6541
-0.4303 -1.7584 6.3691
Co O Zr
4 2 2
Cartesian
0.1596 -2.4472 1.9179
2.2457 -1.9517 2.7035
1.6717 -3.1432 5.7776
2.0503 -5.3605 6.1708
1.7470 -2.3464 0.9579
2.6628 -2.2415 4.4906
0.0000 0.0000 0.0000
0.4009 -4.2098 3.7943
```

## Properties
The value obtained for the uncorrected energy is -5.769 eV/atom.



No. 3
Computed, not measured: crystalline Zr2CoO at its relaxed geometry at the PBE with a Hubbard U level of DFT.

```
Zr2CoO
1.0
-2.5446 -0.0685 1.5823
-0.4693 -2.1924 1.9890
2.5900 3.9042 7.1727
Co O Zr
1 1 2
Cartesian
0.0000 0.0000 0.0000
-0.2119 0.8216 5.3720
1.4667 2.4486 5.3032
-1.8905 -0.8054 5.4408
```

## Properties
The value obtained for the uncorrected energy is -7.427 eV/atom.



No. 4
Computed, not measured: crystalline ZrCoO2 at its relaxed geometry at the PBE with a Hubbard U level of DFT.

```
ZrCoO2
1.0
-3.6898 -1.9823 3.8485
-2.5121 -4.7011 1.9860
-0.5516 -3.3603 4.5563
Co O Zr
1 2 1
Cartesian
0.0000 0.0000 0.0000
-5.9700 -8.8787 9.1854
-0.7834 -1.1651 1.2053
-3.3767 -5.0219 5.1954
```

## Properties
The polymorph energy (0 for the lowest one) comes out at 0.000 eV/f.u. The value obtained for the uncorrected energy is -7.699 eV/atom.



No. 5
Computed, not measured: crystalline ZrCoO2 at its relaxed geometry at the PBE with a Hubbard U level of DFT.

```
ZrCoO2
1.0
1.2552 -2.4677 5.7608
1.3665 -4.9522 3.8026
3.8733 -3.0389 4.0760
Co O Zr
1 2 1
Cartesian
3.2475 -5.2294 6.8197
5.7809 -9.3088 12.1397
0.7141 -1.1499 1.4997
0.0000 0.0000 0.0000
```

## Properties
The polymorph energy (0 for the lowest one) comes out at 2.449 eV/f.u. The value obtained for the uncorrected energy is -7.087 eV/atom.